# PBE TlCo2Cl, relaxed
# ΔE to the lowest computed polymorph: 0.023 eV/atom
# total energy: -34.78 eV/cell
data_TlCo2Cl
_cell_length_a 9.734
_cell_length_b 3.175
_cell_length_c 7.232
_cell_angle_alpha 90.00
_cell_angle_beta 130.55
_cell_angle_gamma 90.00
_space_group_name_H-M_alt 'C 1 2/m 1'
_space_group_IT_number 12
loop_
_space_group_symop_operation_xyz
'x,y,z'
'-x,-y,-z'
'-x,y,-z'
'x,-y,z'
'x+1/2,y+1/2,z'
'-x+1/2,-y+1/2,-z'
'-x+1/2,y+1/2,-z'
'x+1/2,-y+1/2,z'
loop_
_atom_site_label
_atom_site_type_symbol
_atom_site_fract_x
_atom_site_fract_y
_atom_site_fract_z
_atom_site_occupancy
Tl1 Tl 0.000 0.000 0.000 1
Co1 Co 0.166 0.500 0.858 1
Cl1 Cl 0.000 0.000 0.500 1

***

# PBE WBr, relaxed
# ΔE to the lowest computed polymorph: 0.133 eV/atom
# total energy: -85.17 eV/cell
data_WBr
_cell_length_a 3.3646
_cell_length_b 3.3646
_cell_length_c 28.1020
_cell_angle_alpha 90.00
_cell_angle_beta 90.00
_cell_angle_gamma 120.00
_space_group_name_H-M_alt 'R -3 m'
_space_group_IT_number 166
_space_group_name_Hall '-R 3 2"'
loop_
_atom_site_label
_atom_site_type_symbol
_atom_site_fract_x
_atom_site_fract_y
_atom_site_fract_z
_atom_site_occupancy
W1 W 0.0000 0.0000 0.1372 1
Br1 Br 0.0000 0.0000 0.3972 1

***

# PBE TlZnMo2, relaxed
# ΔE to the lowest computed polymorph: 0.176 eV/atom
# energy of formation from the pure elements: 2.0 eV/f.u.
# total energy: -23.26 eV/cell
data_TlZnMo2
_cell_length_a 2.827
_cell_length_b 4.573
_cell_length_c 5.555
_cell_angle_alpha 90.00
_cell_angle_beta 101.58
_cell_angle_gamma 90.00
_space_group_name_H-M_alt 'P 1 2/m 1'
_space_group_IT_number 10
loop_
_space_group_symop_operation_xyz
'x,y,z'
'-x,-y,-z'
'-x,y,-z'
'x,-y,z'
loop_
_atom_site_label
_atom_site_type_symbol
_atom_site_fract_x
_atom_site_fract_y
_atom_site_fract_z
_atom_site_occupancy
Tl1 Tl 0.000 0.000 0.000 1
Zn1 Zn 0.500 0.000 0.500 1
Mo1 Mo 0.214 0.500 0.718 1

***

- Among the records above, which one has the highest total energy?
  TlZnMo2